Ca2PrCoH8: relaxed, PBE.

```
12
Lattice="-1.198 -4.578 0.022 3.512 1.539 2.772 -4.351 1.162 4.867" Properties=species:S:1:pos:R:3 pbc="T T T"
Ca -0.226 -2.379 1.607
H -0.358 0.115 4.429
H 1.475 -1.686 3.106
Pr -2.175 0.581 2.433
Ca -1.811 0.503 6.054
H -3.512 -0.190 4.555
H 0.231 -0.053 1.604
H -1.679 -1.991 3.232
H -2.268 -1.824 6.057
Co 0.000 0.000 0.000
H -4.156 -2.651 4.566
H 2.119 0.775 3.095
```

Output
volume = 10.72 Å³/atom
crystal system = trigonal
raw total energy = -47.64 eV per formula unit
space-group type = P-3m1

Ca2CoH6Pt: relaxed, PBE.

```
10
Lattice="5.023 0.000 0.002 0.000 5.023 0.001 -2.511 -2.511 3.743" Properties=species:S:1:pos:R:3 pbc="T T T"
Ca 0.000 2.515 1.872
Co 2.512 -2.508 3.744
H 3.835 3.838 0.006
Ca 2.512 0.003 1.873
H -0.002 0.001 1.634
Pt 0.001 0.003 3.744
H -1.323 1.326 3.744
H 1.324 -1.320 3.744
H -1.323 -1.320 3.739
H 2.514 2.517 2.111
```

Output
volume = 9.45 Å³/atom
crystal system = tetragonal
raw total energy = -42.20 eV per formula unit
space-group type = I4/mmm

Ca2CoHPt: relaxed, PBE.

```
5
Lattice="4.915 0.000 0.000 0.000 4.915 0.000 0.000 0.000 3.437" Properties=species:S:1:pos:R:3 pbc="T T T"
Ca 2.457 0.000 0.000
Pt 2.457 2.457 1.719
Ca 0.000 2.457 0.000
H 0.000 0.000 0.000
Co 0.000 0.000 1.719
```

Output
volume = 16.61 Å³/atom
crystal system = tetragonal
raw total energy = -22.33 eV per formula unit
space-group type = P4/mmm

Ca2PuCoH8: relaxed, PBE.

```
12
Lattice="-0.540 2.358 -4.096 2.695 -3.917 0.152 -5.105 -3.567 -1.380" Properties=species:S:1:pos:R:3 pbc="T T T"
Ca -0.211 -0.257 -2.882
H -1.974 -1.489 -3.359
Ca -2.739 -4.868 -2.442
H -4.027 -2.864 -2.386
H -4.319 -1.588 -4.602
Pu -2.552 -1.783 -0.690
Co 0.000 0.000 0.000
H 1.370 -3.537 -0.722
H 1.078 -2.261 -2.939
H -0.975 -3.636 -1.965
H -2.861 -3.707 -4.520
H -0.088 -1.418 -0.805
```

Output
volume = 10.42 Å³/atom
crystal system = trigonal
raw total energy = -56.42 eV per formula unit
space-group type = P-3m1

Rb2CaCoH6: relaxed, PBE.

```
10
Lattice="-5.127 -1.210 -1.974 2.421 -1.352 -5.456 -0.605 -4.366 4.246" Properties=species:S:1:pos:R:3 pbc="T T T"
H 0.838 -4.685 -1.900
Rb -3.020 -3.403 -3.929
H -0.314 -1.058 -1.132
H 1.221 -1.915 -4.594
Rb -0.291 -3.525 0.744
H -4.532 -5.013 1.409
H -4.148 -2.243 -1.285
Ca -2.563 -0.605 -0.987
Co 0.000 0.000 0.000
H -2.996 -5.870 -2.052
```

Output
volume = 18.25 Å³/atom
crystal system = trigonal
raw total energy = -33.61 eV per formula unit
space-group type = P-3m1

Ca2CoH6Rh: relaxed, PBE.

```
10
Lattice="-0.557 -3.835 3.226 -0.749 -3.148 -3.867 4.157 2.848 0.163" Properties=species:S:1:pos:R:3 pbc="T T T"
Ca 1.377 -1.897 -2.014
H 1.677 -0.310 -0.077
H 3.843 1.174 0.008
H 1.173 -3.827 -0.404
H 3.163 -2.463 -0.326
Rh 3.503 -0.644 -0.159
Co 3.599 -0.988 3.388
Ca 1.473 -2.240 1.533
H 3.453 -0.466 -2.005
H 3.553 -0.823 1.687
```

Output
volume = 9.07 Å³/atom
crystal system = cubic
raw total energy = -43.68 eV per formula unit
space-group type = Fm-3m

CaCo2HRu: relaxed, PBE.

```
5
Lattice="4.703 0.000 0.000 0.000 3.526 0.000 0.000 0.000 4.703" Properties=species:S:1:pos:R:3 pbc="T T T"
Ca 2.352 1.763 2.352
Co 2.352 0.000 0.000
H 0.000 1.763 0.000
Co 0.000 0.000 2.352
Ru 0.000 0.000 0.000
```

Output
volume = 15.60 Å³/atom
crystal system = tetragonal
raw total energy = -25.83 eV per formula unit
space-group type = P4/mmm

CaCoHS2: relaxed, PBE.

```
5
Lattice="4.467 0.000 0.000 0.000 3.725 0.000 0.000 0.000 4.467" Properties=species:S:1:pos:R:3 pbc="T T T"
Ca 0.000 1.862 0.000
S 2.233 0.000 0.000
S 0.000 0.000 2.233
Co 2.233 1.862 2.233
H 0.000 0.000 0.000
```

Output
volume = 14.86 Å³/atom
crystal system = tetragonal
raw total energy = -20.17 eV per formula unit
space-group type = P4/mmm

CaCoSbH2: relaxed, PBE.

```
5
Lattice="-3.964 -0.045 1.053 0.067 -4.895 0.041 1.053 0.048 3.964" Properties=species:S:1:pos:R:3 pbc="T T T"
Ca -1.422 -2.446 2.529
H -1.982 -0.023 0.527
Sb 0.000 0.000 0.000
H 0.526 0.024 1.982
Co 0.033 -2.448 0.021
```

Output
volume = 16.47 Å³/atom
crystal system = tetragonal
raw total energy = -18.39 eV per formula unit
space-group type = P4/mmm

CaCoHSe2: relaxed, PBE.

```
5
Lattice="4.879 0.000 0.000 0.000 4.879 0.000 0.000 0.000 3.529" Properties=species:S:1:pos:R:3 pbc="T T T"
H 0.000 0.000 1.764
Se 2.439 0.000 0.000
Se 0.000 2.439 0.000
Ca 2.439 2.439 1.764
Co 0.000 0.000 0.000
```

Output
volume = 16.80 Å³/atom
crystal system = tetragonal
raw total energy = -22.26 eV per formula unit
space-group type = P4/mmm

CaCo2SiH: relaxed, PBE.

```
5
Lattice="-0.210 2.464 4.027 2.341 -4.150 2.662 4.263 1.830 -0.897" Properties=species:S:1:pos:R:3 pbc="T T T"
H 3.197 0.072 2.895
Ca 0.000 0.000 0.000
Si 1.171 -2.075 1.331
Co 2.132 0.915 -0.449
Co -0.105 1.232 2.013
```

Output
volume = 24.37 Å³/atom
crystal system = tetragonal
raw total energy = -13.34 eV per formula unit
space-group type = P4/mmm

SrCa2CoH8: relaxed, PBE.

```
12
Lattice="-3.467 1.212 3.047 1.385 -4.553 -0.351 4.764 1.064 4.999" Properties=species:S:1:pos:R:3 pbc="T T T"
H -0.572 -2.866 2.477
Ca -1.187 -0.562 2.609
H 3.253 0.588 5.218
Co 0.000 0.000 0.000
Sr 2.382 0.532 2.499
H 1.408 1.232 6.839
H 0.307 -0.229 4.177
H 2.375 -2.049 3.518
Ca 3.869 -1.716 5.085
H 1.273 -3.510 0.856
H 0.536 -1.087 1.042
H 2.145 -1.191 6.652
```

Output
volume = 11.48 Å³/atom
crystal system = trigonal
raw total energy = -45.17 eV per formula unit
space-group type = P-3m1

CaTaCo2H8: relaxed, PBE.

```
12
Lattice="4.448 0.000 0.000 2.224 3.852 0.000 2.224 1.284 5.532" Properties=species:S:1:pos:R:3 pbc="T T T"
Co 2.224 1.284 0.833
H 6.672 3.852 3.210
H 2.227 2.697 1.538
H 5.449 4.561 3.993
H 7.898 4.556 3.993
H 6.669 2.439 3.993
H 3.447 0.575 1.538
H 2.224 1.284 2.321
H 0.998 0.580 1.538
Co 6.672 3.852 4.699
Ta 0.000 0.000 0.000
Ca 4.448 2.568 2.766
```

Output
volume = 7.90 Å³/atom
crystal system = trigonal
raw total energy = -56.10 eV per formula unit
space-group type = R-3m

CaCoTeH2: relaxed, PBE.

```
5
Lattice="4.099 0.000 0.000 0.000 5.003 0.000 0.000 0.000 4.099" Properties=species:S:1:pos:R:3 pbc="T T T"
H 0.000 0.000 2.049
Te 0.000 2.502 0.000
Co 0.000 0.000 0.000
Ca 2.049 2.502 2.049
H 2.049 0.000 0.000
```

Output
volume = 16.81 Å³/atom
crystal system = tetragonal
raw total energy = -19.05 eV per formula unit
space-group type = P4/mmm

CaTl2CoH: relaxed, PBE.

```
5
Lattice="-3.190 1.857 3.360 1.941 -2.989 3.494 3.427 3.662 1.229" Properties=species:S:1:pos:R:3 pbc="T T T"
Tl 0.971 -1.494 1.747
Co 0.000 0.000 0.000
Tl -1.595 0.928 1.680
H 1.089 1.265 4.042
Ca 1.713 1.831 0.615
```

Output
volume = 25.72 Å³/atom
crystal system = tetragonal
raw total energy = -15.58 eV per formula unit
space-group type = P4/mmm

Ca2CoHW: relaxed, PBE.

```
5
Lattice="-2.275 -5.087 0.679 0.300 -0.522 -2.907 5.101 -2.159 0.913" Properties=species:S:1:pos:R:3 pbc="T T T"
H 0.150 -0.261 -1.454
Co 0.000 0.000 0.000
W 1.563 -3.884 -0.657
Ca 2.550 -1.080 0.457
Ca -1.138 -2.544 0.340
```

Output
volume = 18.71 Å³/atom
crystal system = tetragonal
raw total energy = -22.72 eV per formula unit
space-group type = P4/mmm

CaYCo2H: relaxed, PBE.

```
5
Lattice="-3.085 0.282 -4.032 -0.885 -3.890 0.404 -3.883 1.200 3.055" Properties=species:S:1:pos:R:3 pbc="T T T"
Co -1.542 0.141 -2.016
Co -1.942 0.600 1.527
Y 0.000 0.000 0.000
H -0.442 -1.945 0.202
Ca -3.926 -1.204 -0.287
```

Output
volume = 20.73 Å³/atom
crystal system = tetragonal
raw total energy = -22.93 eV per formula unit
space-group type = P4/mmm

CaZn2CoH: relaxed, PBE.

```
5
Lattice="0.000 5.429 -0.758 -3.480 -0.157 -1.122 -1.697 0.721 5.162" Properties=species:S:1:pos:R:3 pbc="T T T"
Zn 0.000 2.714 -0.379
Ca 0.000 0.000 0.000
Co -2.589 2.996 1.641
H -1.740 -0.078 -0.561
Zn -0.848 0.360 2.581
```

Output
volume = 21.99 Å³/atom
crystal system = tetragonal
raw total energy = -10.18 eV per formula unit
space-group type = P4/mmm

Ca2ZnCoH: relaxed, PBE.

```
5
Lattice="5.033 0.000 0.000 0.000 5.033 0.000 0.000 0.000 3.480" Properties=species:S:1:pos:R:3 pbc="T T T"
Ca 2.516 0.000 0.000
Ca 0.000 2.516 0.000
H 0.000 0.000 0.000
Co 0.000 0.000 1.740
Zn 2.516 2.516 1.740
```

Output
volume = 17.63 Å³/atom
crystal system = tetragonal
raw total energy = -16.15 eV per formula unit
space-group type = P4/mmm

Ca2HfCo2: relaxed, PBE.

```
10
Lattice="-6.590 -0.062 0.658 -0.104 -6.413 -1.651 0.464 -1.177 4.543" Properties=species:S:1:pos:R:3 pbc="T T T"
Hf 0.000 0.000 0.000
Co -5.859 -4.035 -0.446
Co -4.103 -0.812 0.209
Hf -3.347 -3.237 -0.497
Ca -4.296 -5.926 1.352
Ca -1.933 -1.725 2.198
Ca -0.986 -4.922 1.273
Co -2.591 -5.663 -1.202
Co -0.835 -2.440 -0.547
Ca -5.244 -2.729 2.277
```

Output
ΔE_f = 0.1579 eV per atom
volume = 20.69 Å³/atom
crystal system = tetragonal
raw total energy = -27.38 eV per formula unit
space-group type = P4/mbm

CaHf2Co2: relaxed, PBE.

```
10
Lattice="-4.029 -0.648 -6.652 5.951 -3.882 -3.227 -1.157 -2.565 0.951" Properties=species:S:1:pos:R:3 pbc="T T T"
Hf 0.360 -3.047 -7.780
Hf 1.563 -1.483 -2.098
Co -1.909 -3.219 -6.369
Hf -1.742 -0.965 -4.725
Ca 0.961 -2.265 -4.939
Co 1.923 -5.023 -6.570
Ca 0.000 0.000 0.000
Co -1.157 -2.071 -2.358
Hf 3.665 -3.565 -5.154
Co 2.674 -3.875 -2.559
```

Output
ΔE_f = -0.0243 eV per atom
volume = 18.09 Å³/atom
E above lowest polymorph = 0.110 eV per atom
crystal system = tetragonal
raw total energy = -36.24 eV per formula unit
space-group type = P4/mbm

Ca3HfCo: relaxed, PBE.

```
5
Lattice="5.283 0.000 0.000 0.000 5.283 0.000 0.000 0.000 5.283" Properties=species:S:1:pos:R:3 pbc="T T T"
Ca 2.641 0.000 0.000
Hf 2.641 2.641 2.641
Ca 0.000 0.000 2.641
Co 0.000 0.000 0.000
Ca 0.000 2.641 0.000
```

Output
ΔE_f = 0.7037 eV per atom
volume = 29.48 Å³/atom
E above lowest polymorph = 0.000 eV per atom
crystal system = cubic
raw total energy = -19.55 eV per formula unit
space-group type = Pm-3m

Ca3HfCo: relaxed, PBE.

```
5
Lattice="5.837 0.000 0.000 0.000 5.837 0.000 0.000 0.000 5.837" Properties=species:S:1:pos:R:3 pbc="T T T"
Ca 0.000 0.000 2.919
Co 2.919 2.919 2.919
Ca 0.000 2.919 0.000
Ca 2.919 0.000 0.000
Hf 0.000 0.000 0.000
```

Output
ΔE_f = 1.5531 eV per atom
volume = 39.78 Å³/atom
E above lowest polymorph = 0.849 eV per atom
crystal system = cubic
raw total energy = -15.30 eV per formula unit
space-group type = Pm-3m

CaHf2Co2: relaxed, PBE.

```
10
Lattice="7.674 0.000 0.000 0.000 7.674 0.000 0.000 0.000 3.142" Properties=species:S:1:pos:R:3 pbc="T T T"
Hf 1.114 4.950 1.571
Hf 4.950 6.560 1.571
Hf 2.723 1.114 1.571
Ca 3.837 3.837 0.000
Hf 6.560 2.723 1.571
Co 4.871 1.034 0.000
Co 6.640 4.871 0.000
Co 2.803 6.640 0.000
Ca 0.000 0.000 0.000
Co 1.034 2.803 0.000
```

Output
ΔE_f = -0.0809 eV per atom
volume = 18.50 Å³/atom
E above lowest polymorph = 0.053 eV per atom
crystal system = tetragonal
raw total energy = -36.52 eV per formula unit
space-group type = P4/mbm

CaHf2Co2: relaxed, PBE.

```
5
Lattice="-0.127 4.117 -1.366 -4.209 -0.447 -0.954 -3.432 3.402 3.680" Properties=species:S:1:pos:R:3 pbc="T T T"
Ca 0.000 0.000 0.000
Hf -2.864 4.677 0.577
Co -2.451 2.185 -0.077
Hf -4.905 2.395 0.783
Co -5.318 4.886 1.437
```

Output
ΔE_f = -0.1343 eV per atom
volume = 19.74 Å³/atom
E above lowest polymorph = 0.000 eV per atom
crystal system = tetragonal
raw total energy = -36.79 eV per formula unit
space-group type = I4/mmm

no.,DOS at the Fermi energy (states/eV/f.u.)
1,3.5
2,0.9
3,1.1
4,6.2
5,2.4
6,2.1
7,5.2
8,5.8
9,2.2
10,6.1
11,5.0
12,3.0
13,3.3
14,3.6
15,1.4
16,3.5
17,6.0
18,1.7
19,3.2
20,4.3
21,4.1
22,10.5
23,5.4
24,7.4
25,3.5